The following is a GGA-PBE calculation of crystalline ScTiAu4 at its relaxed geometry, from Alexandria.

It has space group P4/mmm (No. 123), with a = 3.511 Å, b = 3.511 Å, c = 8.748 Å, α = 90.00°, β = 90.00° and γ = 90.00°. Symmetry generates all atoms from Sc at (0.000, 0.000, 0.000), Ti at (0.500, 0.500, 0.500), Au at (0.000, 0.000, 0.340) and Au at (0.500, 0.500, 0.168).

The calculation puts the calculated formation energy at -0.62 eV per atom. Its crystal system is tetragonal. The density of states at the Fermi level comes out at 0.605 states/eV/atom. Its magnetization is 0.43 μB/cell.